{"formula": "Ba2SiP", "functional": "PBE", "state": "relaxed", "relative_energy_ev_per_atom": 0.399, "formation_energy_uncorrected_ev_per_atom": -0.2274, "mass_density_kg_m3": 3656, "cell": [[-1.418, -8.217, 2.564], [-1.314, -8.384, -2.021], [2.606, -8.317, 0.362]], "species": ["Ba", "Ba", "Si", "P"], "frac_coords": [[0.989, 0.989, 0.989], [0.511, 0.511, 0.511], [0.750, 0.750, 0.750], [0.250, 0.250, 0.250]]}